Record 1
CaTiTe2Br, optimized geometry, DFT PBE-GGA; DFT total energy = -4.40 eV per atom; DOS(E_F) = 0.649 states/eV per atom; symmetry = P4/mmm; uncorrected formation energy = -4.15 eV per formula unit
1.0
5.557 0.000 0.000
0.000 5.557 0.000
0.000 0.000 4.948
Ca Ti Te Br
1 1 2 1
Direct
0.000 0.000 0.000
0.500 0.500 0.500
0.000 0.500 0.500
0.500 0.000 0.500
0.500 0.500 0.000

Record 2
KCuBr, optimized geometry, DFT PBE-GGA; DFT total energy = -2.56 eV per atom; DOS(E_F) = 0.646 states/eV per atom; E above lowest polymorph = 0.00 eV/f.u.; symmetry = P-6m2; uncorrected formation energy = -0.81 eV per formula unit
1.0
4.787 0.000 0.000
-2.394 4.146 0.000
0.000 0.000 4.463
K Cu Br
1 1 1
Direct
0.000 0.000 0.000
0.333 0.667 0.500
0.667 0.333 0.500

Record 3
TaTeRh2, optimized geometry, DFT PBE-GGA; DFT total energy = -7.56 eV per atom; DOS(E_F) = 0.549 states/eV per atom; symmetry = Pm; uncorrected formation energy = -0.56 eV per formula unit
1.0
3.152 0.000 0.000
0.000 4.308 0.000
-1.567 0.000 5.198
Ta Te Rh
1 1 2
Direct
0.000 0.000 0.000
0.705 0.500 0.408
0.275 0.000 0.548
0.453 0.500 0.903

Record 4
Tm4Bi3Pb, optimized geometry, DFT PBE-GGA; DFT total energy = -4.81 eV per atom; DOS(E_F) = 0.302 states/eV per atom; formation enthalpy at 0 K = -0.65 eV per atom; symmetry = Cmmm
1.0
4.461 -6.267 0.000
4.461 6.267 0.000
0.000 0.000 4.389
Tm Bi Pb
4 3 1
Direct
0.248 0.752 0.000
0.249 0.249 0.500
0.751 0.751 0.500
0.752 0.248 0.000
0.000 0.500 0.500
0.500 0.000 0.500
0.500 0.500 0.000
0.000 0.000 0.000

Record 5
Mg3SbN, optimized geometry, DFT PBE-GGA; DFT total energy = -3.83 eV per atom; DOS(E_F) = 0.000 states/eV per atom; symmetry = P2_1/m; uncorrected formation energy = -1.92 eV per formula unit
1.0
5.395 0.000 0.000
0.000 6.046 0.000
-0.709 0.000 6.171
Mg Sb N
6 2 2
Direct
0.175 0.250 0.120
0.235 0.000 0.573
0.235 0.500 0.573
0.765 0.000 0.427
0.765 0.500 0.427
0.825 0.750 0.880
0.385 0.750 0.162
0.615 0.250 0.838
0.023 0.250 0.405
0.977 0.750 0.595

Record 6
PmAlNi2, optimized geometry, DFT PBE-GGA; DFT total energy = -5.25 eV per atom; DOS(E_F) = 0.690 states/eV per atom; formation enthalpy at 0 K = -0.23 eV per atom; symmetry = P4/mmm
1.0
4.539 0.000 0.000
0.000 4.539 0.000
0.000 0.000 3.207
Pm Al Ni
1 1 2
Direct
0.000 0.000 0.000
0.500 0.500 0.000
0.000 0.500 0.500
0.500 0.000 0.500

Record 7
LiNi2Cl, optimized geometry, DFT PBE-GGA; DFT total energy = -3.54 eV per atom; DOS(E_F) = 1.152 states/eV per atom; E above lowest polymorph = 1.99 eV/f.u.; symmetry = R-3m; uncorrected formation energy = 1.17 eV per formula unit
1.0
1.435 0.828 7.779
-1.435 0.828 7.779
0.000 -1.657 7.779
Li Ni Cl
1 2 1
Direct
0.000 0.000 0.000
0.244 0.244 0.244
0.756 0.756 0.756
0.500 0.500 0.500

Record 8
Mo2P, optimized geometry, DFT PBE-GGA; DFT total energy = -8.97 eV per atom; DOS(E_F) = 1.698 states/eV per atom; formation enthalpy at 0 K = 0.06 eV per atom; E above lowest polymorph = 1.32 eV/f.u.; symmetry = Fm-3m
1.0
0.000 2.876 2.876
2.876 0.000 2.876
2.876 2.876 0.000
Mo P
2 1
Direct
0.250 0.250 0.250
0.750 0.750 0.750
0.000 0.000 0.000

What did the fourth record say?
Tm4Bi3Pb, optimized geometry, DFT PBE-GGA; DFT total energy = -4.81 eV per atom; DOS(E_F) = 0.302 states/eV per atom; formation enthalpy at 0 K = -0.65 eV per atom; symmetry = Cmmm
1.0
4.461 -6.267 0.000
4.461 6.267 0.000
0.000 0.000 4.389
Tm Bi Pb
4 3 1
Direct
0.248 0.752 0.000
0.249 0.249 0.500
0.751 0.751 0.500
0.752 0.248 0.000
0.000 0.500 0.500
0.500 0.000 0.500
0.500 0.500 0.000
0.000 0.000 0.000